Entry 1:
# TbCoSi2Ir

TbCoSi2Ir after structural relaxation (GGA-PBE, Alexandria).

abc: 3.981 3.981 9.973
angles: 90.00 90.00 90.00
Space group I-4m2 (No. 119)
Unique sites:
Tb 0.000 0.000 0.000
Co 0.000 0.500 0.250
Si 0.000 0.000 0.376
Ir 0.000 0.500 0.750

Calculated values
Its total energy is -7.242 eV per atom. As for the volume: 158.1 Å³ per cell. The value obtained for the energy relative to the elements, uncorrected is -4.76 eV per formula unit. Its total magnetization is 0.00 μB/f.u. The density is 9.8 g cm⁻³.

---

Entry 2:
# LiVGa

LiVGa after structural relaxation (GGA-PBE, Alexandria).

abc: 4.563 6.966 11.472
angles: 90.00 90.00 90.00
Space group Fmmm (No. 69)
Unique sites:
Li 0.000 0.170 0.000
V 0.250 0.250 0.250
Ga 0.000 0.000 0.389

Calculated values
For the energy above the most stable polymorph in this dataset, the calculation gives 0.266 eV per atom. Its total energy is -4.614 eV per atom. As for the volume: 364.6 Å³ per cell. Its formation energy is 21 kJ/mol of formula units. Its total magnetization is 0.00 μB/f.u. The density is 4.6 g cm⁻³.

---

Entry 3:
# Sm2Tm3Sc8

Sm2Tm3Sc8 after structural relaxation (GGA-PBE, Alexandria).

abc: 14.020 8.551 6.340
angles: 90.00 98.80 90.00
Space group C2/m (No. 12)
Unique sites:
Sm 0.207 0.000 0.253
Tm 0.000 0.000 0.500
Tm 0.000 0.177 0.000
Sc 0.080 0.500 0.874
Sc 0.108 0.324 0.438
Sc 0.218 0.000 0.755

Calculated values
Its total energy is -5.356 eV per atom. As for the volume: 751.1 Å³ per cell. Its formation energy is 374 kJ/mol of formula units. Its total magnetization is 0.00 μB/f.u. The density is 5.2 g cm⁻³.

---

Entry 4:
# La2HgAsPb

La2HgAsPb after structural relaxation (GGA-PBE, Alexandria).

abc: 6.114 6.114 5.356
angles: 90.00 90.00 90.00
Space group P4/mmm (No. 123)
Unique sites:
La 0.000 0.500 0.000
Hg 0.000 0.000 0.500
As 0.500 0.500 0.500
Pb 0.000 0.000 0.000

Calculated values
For the energy above the most stable polymorph in this dataset, the calculation gives 0.000 eV per atom. Its total energy is -3.527 eV per atom. As for the volume: 200.2 Å³ per cell. Its formation energy is 85 kJ/mol of formula units. Its total magnetization is 0.00 μB/f.u. The density is 6.3 g cm⁻³.

---

Entry 5:
# Na15Tl2Pb2

Na15Tl2Pb2 after structural relaxation (GGA-PBE, Alexandria).

abc: 9.6946 9.6946 22.2674
angles: 90.00 90.00 120.00
Space group R-3m (No. 166, hexagonal axes)
Unique sites:
Na 0.0000 0.3111 0.0000
Na 0.0000 0.5000 0.5000
Na 0.0859 0.5429 0.1079
Tl 0.0000 0.0000 0.0797
Pb 0.0000 0.0000 0.2848

Calculated values
Its total energy is -1.664 eV per atom. As for the volume: 1812.4 Å³ per cell. Its formation energy is 31 kJ/mol of formula units. Its total magnetization is 0.00 μB/f.u. The density is 3.2 g cm⁻³.

---

Entry 6:
# Pa3Tl2S8

Pa3Tl2S8 after structural relaxation (GGA-PBE, Alexandria).

abc: 15.153 8.208 7.002
angles: 90.00 108.71 90.00
Space group C2/m (No. 12)
Unique sites:
Pa 0.000 0.000 0.000
Pa 0.000 0.257 0.500
Tl 0.228 0.500 0.155
S 0.096 0.000 0.402
S 0.099 0.224 0.886
S 0.104 0.500 0.454

Calculated values
For the energy above the most stable polymorph in this dataset, the calculation gives 0.000 eV per atom. Its total energy is -6.416 eV per atom. As for the volume: 824.9 Å³ per cell. The value obtained for the energy relative to the elements, uncorrected is -17.16 eV per formula unit. Its total magnetization is 1.19 μB/f.u. The density is 5.5 g cm⁻³.

---

Entry 7:
# LaMgTe2N

LaMgTe2N after structural relaxation (GGA-PBE, Alexandria).

abc: 6.431 6.431 4.031
angles: 90.00 90.00 90.00
Space group P4/mmm (No. 123)
Unique sites:
La 0.000 0.000 0.000
Mg 0.500 0.500 0.500
Te 0.000 0.500 0.000
N 0.000 0.000 0.500

Calculated values
For the energy above the most stable polymorph in this dataset, the calculation gives 0.343 eV per atom. Its total energy is -4.196 eV per atom. As for the volume: 166.7 Å³ per cell. The value obtained for the energy relative to the elements, uncorrected is 0.15 eV per formula unit. Its total magnetization is 0.18 μB/f.u. The density is 4.3 g cm⁻³.

---

Entry 8:
# MnFeSe2N

MnFeSe2N after structural relaxation (GGA-PBE, Alexandria).

abc: 4.967 4.967 3.436
angles: 90.00 90.00 90.00
Space group P4/mmm (No. 123)
Unique sites:
Mn 0.000 0.000 0.000
Fe 0.500 0.500 0.500
Se 0.000 0.500 0.000
N 0.000 0.000 0.500

Calculated values
For the energy above the most stable polymorph in this dataset, the calculation gives 0.159 eV per atom. Its total energy is -6.154 eV per atom. As for the volume: 84.8 Å³ per cell. The value obtained for the energy relative to the elements, uncorrected is 2.16 eV per formula unit. Its total magnetization is 5.37 μB/f.u. The density is 5.5 g cm⁻³.

---

Entry 9:
# Na2MnPt2

Na2MnPt2 after structural relaxation (GGA-PBE, Alexandria).

abc: 4.833 4.833 8.115
angles: 90.00 90.00 90.00
Space group I4/mmm (No. 139)
Unique sites:
Na 0.000 0.000 0.131
Mn 0.000 0.000 0.500
Pt 0.000 0.500 0.250

Calculated values
For the energy above the most stable polymorph in this dataset, the calculation gives 0.649 eV per atom. Its total energy is -4.217 eV per atom. As for the volume: 189.5 Å³ per cell. Its formation energy is 270 kJ/mol of formula units. Its total magnetization is 4.76 μB/f.u. The density is 8.6 g cm⁻³.

---

Entry 10:
# TcAg2W

TcAg2W after structural relaxation (GGA-PBE, Alexandria).

abc: 2.7800 2.7800 29.3245
angles: 90.00 90.00 120.00
Space group R-3m (No. 166, hexagonal axes)
Unique sites:
Tc 0.0000 0.0000 0.0000
Ag 0.0000 0.0000 0.2508
W 0.0000 0.0000 0.5000

Calculated values
For the energy above the most stable polymorph in this dataset, the calculation gives 0.301 eV per atom. Its total energy is -6.632 eV per atom. As for the volume: 196.3 Å³ per cell. Its formation energy is 240 kJ/mol of formula units. Its total magnetization is 0.58 μB/f.u. The density is 12.6 g cm⁻³.

---

Entry 11:
# KMgBe2Cl

KMgBe2Cl after structural relaxation (GGA-PBE, Alexandria).

abc: 6.269 6.269 5.576
angles: 90.00 90.00 90.00
Space group P4/mmm (No. 123)
Unique sites:
K 0.000 0.000 0.000
Mg 0.500 0.500 0.500
Be 0.000 0.500 0.000
Cl 0.000 0.000 0.500

Calculated values
Its total energy is -1.326 eV per atom. As for the volume: 219.2 Å³ per cell. The value obtained for the energy relative to the elements, uncorrected is 5.36 eV per formula unit. Its total magnetization is 0.00 μB/f.u. The density is 0.9 g cm⁻³.

---

Entry 12:
# TiNbTc

TiNbTc after structural relaxation (GGA-PBE, Alexandria).

abc: 9.690 4.467 5.412
angles: 90.00 123.57 90.00
Space group C2/m (No. 12)
Unique sites:
Ti 0.174 0.000 0.255
Nb 0.013 0.500 0.764
Tc 0.165 0.000 0.746

Calculated values
For the energy above the most stable polymorph in this dataset, the calculation gives 0.036 eV per atom. Its total energy is -9.752 eV per atom. As for the volume: 195.2 Å³ per cell. Its formation energy is -89 kJ/mol of formula units. Its total magnetization is 0.00 μB/f.u. The density is 8.1 g cm⁻³.

---

Repeat the fourth record exactly.
# La2HgAsPb

La2HgAsPb after structural relaxation (GGA-PBE, Alexandria).

abc: 6.114 6.114 5.356
angles: 90.00 90.00 90.00
Space group P4/mmm (No. 123)
Unique sites:
La 0.000 0.500 0.000
Hg 0.000 0.000 0.500
As 0.500 0.500 0.500
Pb 0.000 0.000 0.000

Calculated values
For the energy above the most stable polymorph in this dataset, the calculation gives 0.000 eV per atom. Its total energy is -3.527 eV per atom. As for the volume: 200.2 Å³ per cell. Its formation energy is 85 kJ/mol of formula units. Its total magnetization is 0.00 μB/f.u. The density is 6.3 g cm⁻³.